1.
A plane-wave DFT calculation with SCAN was carried out for CuAgC2 at its PBEsol-relaxed geometry.

```
CuAgC2
1.0
3.861 0.000 0.000
1.931 3.344 0.000
1.931 1.115 3.153
C Ag Cu
2 1 1
direct
0.750 0.750 0.750
0.250 0.250 0.250
0.500 0.500 0.500
0.000 0.000 0.000
```

size of the total moment = 0.000 μB/f.u.
formation energy = 2.219 eV per atom
crystal system = cubic
symmetry = Fm-3m
calculated total energy = -57.9 eV/f.u.

=====

2.
A plane-wave DFT calculation with SCAN was carried out for Fe2CuAgC at its PBEsol-relaxed geometry.

```
Fe2CuAgC
1.0
3.694 0.000 0.000
0.000 3.694 0.000
0.000 0.000 4.273
Cu Ag Fe C
1 1 2 1
direct
0.500 0.500 0.500
0.000 0.000 0.500
0.000 0.500 0.000
0.500 0.000 0.000
0.000 0.000 0.000
```

size of the total moment = 4.546 μB/f.u.
formation energy = 0.477 eV per atom
crystal system = tetragonal
symmetry = P4/mmm
calculated total energy = -90.5 eV/f.u.

=====

3.
A plane-wave DFT calculation with SCAN was carried out for Ti2CuAgC at its PBEsol-relaxed geometry.

```
Ti2CuAgC
1.0
-3.492 -1.454 -0.792
1.480 -3.851 0.545
-0.994 0.189 4.036
Cu Ti C Ag
1 2 1 1
direct
0.500 0.000 0.000
0.000 0.000 0.500
0.000 0.500 0.000
0.000 0.000 0.000
0.500 0.500 0.500
```

size of the total moment = 0.000 μB/f.u.
formation energy = -0.171 eV per atom
crystal system = tetragonal
symmetry = P4/mmm
calculated total energy = -89.6 eV/f.u.

=====

4.
A plane-wave DFT calculation with SCAN was carried out for DyAgH2C2SO9 at its PBEsol-relaxed geometry.

```
DyAgH2C2SO9
1.0
6.853 0.000 0.000
-3.426 6.756 0.040
0.000 -4.000 8.043
O Dy Ag C S H
18 2 2 4 2 4
direct
0.338 0.675 0.100
0.475 0.602 0.776
0.782 0.179 0.594
0.880 0.760 0.030
0.058 0.116 0.217
0.603 0.821 0.406
0.525 0.398 0.224
0.873 0.398 0.224
0.120 0.240 0.970
0.554 0.107 0.260
0.260 0.520 0.520
0.446 0.893 0.740
0.662 0.325 0.900
0.942 0.884 0.783
0.397 0.179 0.594
0.740 0.480 0.480
0.127 0.602 0.776
0.218 0.821 0.406
0.755 0.511 0.741
0.245 0.489 0.259
0.919 0.837 0.337
0.081 0.163 0.663
0.983 0.965 0.070
0.610 0.000 0.500
0.390 0.000 0.500
0.017 0.035 0.930
0.671 0.341 0.299
0.329 0.659 0.701
0.580 0.161 0.854
0.694 0.388 0.021
0.420 0.839 0.146
0.306 0.612 0.979
```

size of the total moment = 0.000 μB/f.u.
crystal system = monoclinic
symmetry = C2/m
calculated total energy = -199.0 eV/f.u.

=====

5.
A plane-wave DFT calculation with SCAN was carried out for AgC3F at its PBEsol-relaxed geometry.

```
AgC3F
1.0
3.748 0.000 0.000
0.000 3.748 0.000
0.000 0.000 3.748
C F Ag
3 1 1
direct
0.500 0.000 0.000
0.000 0.500 0.000
0.000 0.000 0.500
0.000 0.000 0.000
0.500 0.500 0.500
```

size of the total moment = 0.000 μB/f.u.
crystal system = cubic
symmetry = Pm-3m
calculated total energy = -48.9 eV/f.u.

=====

6.
A plane-wave DFT calculation with SCAN was carried out for AgC2F at its PBEsol-relaxed geometry.

```
AgC2F
1.0
-0.833 3.960 1.297
0.298 -1.263 4.046
5.816 -0.168 -2.712
F Ag C
2 2 4
direct
0.750 0.250 0.500
0.500 0.500 0.000
0.250 0.750 0.500
0.000 0.000 0.000
0.371 0.875 0.250
0.879 0.375 0.250
0.625 0.629 0.750
0.125 0.121 0.750
```

size of the total moment = 0.000 μB/f.u.
crystal system = tetragonal
symmetry = I-42d
calculated total energy = -45.8 eV/f.u.

=====

7.
A plane-wave DFT calculation with SCAN was carried out for Ag3CF at its PBEsol-relaxed geometry.

```
Ag3CF
1.0
4.182 0.000 0.000
0.000 4.182 0.000
0.000 0.000 4.182
Ag C F
3 1 1
direct
0.500 0.000 0.000
0.000 0.000 0.500
0.000 0.500 0.000
0.000 0.000 0.000
0.500 0.500 0.500
```

size of the total moment = 0.000 μB/f.u.
crystal system = cubic
symmetry = Pm-3m
calculated total energy = -105.6 eV/f.u.

=====

8.
A plane-wave DFT calculation with SCAN was carried out for FeAg3C at its PBEsol-relaxed geometry.

```
FeAg3C
1.0
-1.730 -4.338 -0.434
3.608 -1.162 -2.763
2.448 -1.353 3.766
Ag Fe C
3 1 1
direct
0.500 0.000 0.000
0.000 0.000 0.500
0.000 0.500 0.000
0.000 0.000 0.000
0.500 0.500 0.500
```

size of the total moment = 4.585 μB/f.u.
formation energy = 2.234 eV per atom
crystal system = cubic
symmetry = Pm-3m
calculated total energy = -111.2 eV/f.u.

=====

9.
A plane-wave DFT calculation with SCAN was carried out for Fe2AgWC at its PBEsol-relaxed geometry.

```
Fe2AgWC
1.0
3.981 0.000 0.000
0.000 4.543 0.000
0.000 0.000 4.543
C Ag Fe W
1 1 2 1
direct
0.500 0.000 0.000
0.500 0.500 0.500
0.000 0.000 0.500
0.000 0.500 0.000
0.000 0.000 0.000
```

size of the total moment = 5.720 μB/f.u.
formation energy = 1.721 eV per atom
crystal system = tetragonal
symmetry = P4/mmm
calculated total energy = -138.8 eV/f.u.

=====

10.
A plane-wave DFT calculation with SCAN was carried out for MgGa2AgC at its PBEsol-relaxed geometry.

```
MgGa2AgC
1.0
-3.355 0.431 2.025
-2.573 -2.068 -3.823
0.644 -4.575 2.041
Ga Mg C Ag
2 1 1 1
direct
0.000 0.000 0.500
0.000 0.500 0.000
0.000 0.000 0.000
0.500 0.000 0.000
0.500 0.500 0.500
```

size of the total moment = 0.000 μB/f.u.
formation energy = 1.337 eV per atom
crystal system = tetragonal
symmetry = P4/mmm
calculated total energy = -72.4 eV/f.u.

=====

11.
A plane-wave DFT calculation with SCAN was carried out for GaAg2OsC at its PBEsol-relaxed geometry.

```
GaAg2OsC
1.0
3.784 0.000 0.000
0.000 5.106 0.000
0.000 0.000 5.106
Ag Os C Ga
2 1 1 1
direct
0.000 0.000 0.500
0.000 0.500 0.000
0.000 0.000 0.000
0.500 0.000 0.000
0.500 0.500 0.500
```

size of the total moment = 0.001 μB/f.u.
formation energy = 1.226 eV per atom
crystal system = tetragonal
symmetry = P4/mmm
calculated total energy = -154.9 eV/f.u.

=====

12.
A plane-wave DFT calculation with SCAN was carried out for AgH12C4Se5N at its PBEsol-relaxed geometry.

```
AgH12C4Se5N
1.0
-1.492 5.930 -3.868
-8.803 -3.052 0.000
3.504 3.301 9.835
C H Se N Ag
8 24 10 2 2
direct
0.710 0.077 0.356
0.173 0.717 0.614
0.810 0.033 0.153
0.854 0.722 0.644
0.157 0.880 0.847
0.038 0.957 0.653
0.884 0.303 0.347
0.059 0.103 0.386
0.669 0.057 0.099
0.783 0.674 0.527
0.042 0.974 0.356
0.741 0.321 0.289
0.188 0.027 0.685
0.870 0.623 0.675
0.924 0.369 0.463
0.165 0.776 0.871
0.961 0.906 0.537
0.173 0.144 0.352
0.929 0.072 0.122
0.570 0.102 0.302
0.070 0.957 0.901
0.096 0.673 0.498
0.307 0.950 0.878
0.321 0.792 0.648
0.756 0.146 0.473
0.768 0.801 0.698
0.794 0.905 0.129
0.186 0.618 0.644
0.097 0.174 0.502
0.003 0.342 0.315
0.694 0.947 0.325
0.952 0.032 0.711
0.415 0.497 0.854
0.533 0.109 0.647
0.324 0.260 0.121
0.797 0.649 0.233
0.065 0.417 0.767
0.378 0.699 0.323
0.386 0.462 0.353
0.555 0.375 0.677
0.704 0.140 0.879
0.062 0.643 0.146
0.866 0.129 0.310
0.056 0.819 0.690
0.037 0.340 0.967
0.571 0.373 0.033
```

size of the total moment = 0.000 μB/f.u.
crystal system = monoclinic
symmetry = Cc
calculated total energy = -226.1 eV/f.u.

=====

13.
A plane-wave DFT calculation with SCAN was carried out for Hf3AgC at its PBEsol-relaxed geometry.

```
Hf3AgC
1.0
4.430 0.000 0.000
0.000 4.430 0.000
0.000 0.000 4.430
Hf Ag C
3 1 1
direct
0.000 0.000 0.500
0.500 0.000 0.000
0.000 0.500 0.000
0.500 0.500 0.500
0.000 0.000 0.000
```

size of the total moment = 0.000 μB/f.u.
formation energy = -0.426 eV per atom
crystal system = cubic
symmetry = Pm-3m
calculated total energy = -231.6 eV/f.u.

=====

14.
A plane-wave DFT calculation with SCAN was carried out for YAgHgC2 at its PBEsol-relaxed geometry.

```
YAgHgC2
1.0
4.353 0.000 0.000
0.000 4.353 0.000
0.000 0.000 4.908
Hg C Ag Y
1 2 1 1
direct
0.000 0.000 0.000
0.500 0.000 0.000
0.000 0.500 0.000
0.000 0.000 0.500
0.500 0.500 0.500
```

size of the total moment = 0.000 μB/f.u.
formation energy = 1.938 eV per atom
crystal system = tetragonal
symmetry = P4/mmm
calculated total energy = -137.9 eV/f.u.

=====

15.
A plane-wave DFT calculation with SCAN was carried out for AgCIO2 at its PBEsol-relaxed geometry.

```
AgCIO2
1.0
-0.442 -0.271 3.844
2.979 -2.479 0.167
3.537 4.300 0.710
I O Ag C
1 2 1 1
direct
0.000 0.000 0.000
0.000 0.500 0.000
0.500 0.000 0.000
0.000 0.000 0.500
0.500 0.500 0.500
```

size of the total moment = 2.205 μB/f.u.
crystal system = tetragonal
symmetry = P4/mmm
calculated total energy = -83.5 eV/f.u.

=====

16.
A plane-wave DFT calculation with SCAN was carried out for Ag2CSI at its PBEsol-relaxed geometry.

```
Ag2CSI
1.0
-3.194 -1.285 3.031
1.816 -4.210 0.129
3.558 1.671 4.458
Ag C S I
2 1 1 1
direct
0.000 0.500 0.000
0.500 0.000 0.000
0.500 0.500 0.500
0.000 0.000 0.000
0.000 0.000 0.500
```

size of the total moment = 1.984 μB/f.u.
crystal system = tetragonal
symmetry = P4/mmm
calculated total energy = -111.6 eV/f.u.

=====

17.
A plane-wave DFT calculation with SCAN was carried out for KAgC2 at its PBEsol-relaxed geometry.

```
KAgC2
1.0
-1.677 -0.057 3.801
-0.542 -4.108 -0.301
7.846 0.977 1.206
C K Ag
4 2 2
direct
0.125 0.875 0.250
0.125 0.375 0.250
0.125 0.875 0.750
0.625 0.875 0.750
0.750 0.250 0.500
0.500 0.500 0.000
0.250 0.750 0.500
0.000 0.000 0.000
```

size of the total moment = 0.000 μB/f.u.
formation energy = 1.920 eV per atom
crystal system = tetragonal
symmetry = I4_1/amd
calculated total energy = -52.2 eV/f.u.

=====

18.
A plane-wave DFT calculation with SCAN was carried out for KAgC2 at its PBEsol-relaxed geometry.

```
KAgC2
1.0
4.225 0.000 0.000
0.000 4.225 0.000
0.000 0.000 5.259
K Ag C
1 1 2
direct
0.500 0.500 0.500
0.000 0.000 0.000
0.000 0.000 0.619
0.000 0.000 0.381
```

size of the total moment = 0.000 μB/f.u.
formation energy = 0.326 eV per atom
crystal system = tetragonal
symmetry = P4/mmm
calculated total energy = -58.6 eV/f.u.

=====

19.
A plane-wave DFT calculation with SCAN was carried out for KAgCO3 at its PBEsol-relaxed geometry.

```
KAgCO3
1.0
5.625 0.000 0.000
0.000 5.850 0.000
-2.813 -2.925 10.282
K C O Ag
4 4 12 4
direct
0.319 0.569 0.638
0.181 0.931 0.362
0.681 0.431 0.362
0.819 0.069 0.638
0.873 0.623 0.747
0.373 0.123 0.747
0.627 0.877 0.253
0.127 0.377 0.253
0.754 0.786 0.807
0.689 0.939 0.378
0.811 0.561 0.622
0.947 0.480 0.193
0.189 0.439 0.378
0.447 0.714 0.193
0.254 0.020 0.807
0.311 0.061 0.622
0.553 0.286 0.807
0.246 0.214 0.193
0.053 0.520 0.807
0.746 0.980 0.193
0.750 0.866 0.000
0.750 0.366 0.000
0.250 0.134 0.000
0.250 0.634 0.000
```

size of the total moment = 0.000 μB/f.u.
crystal system = orthorhombic
symmetry = Ibca
calculated total energy = -77.1 eV/f.u.

=====

20.
A plane-wave DFT calculation with SCAN was carried out for K2SiAgC at its PBEsol-relaxed geometry.

```
K2SiAgC
1.0
-0.456 -3.297 1.899
1.483 -3.191 -5.184
6.041 0.118 1.656
K C Ag Si
2 1 1 1
direct
0.000 0.500 0.000
0.000 0.000 0.500
0.500 0.000 0.000
0.000 0.000 0.000
0.500 0.500 0.500
```

size of the total moment = 1.892 μB/f.u.
crystal system = tetragonal
symmetry = P4/mmm
calculated total energy = -62.6 eV/f.u.